A plane-wave DFT calculation with PBE-GGA was carried out for an optimized crystal structure of LaSm8Y2.

abc: 10.3824 10.3824 5.6467
angles: 93.14 93.14 39.75
Sites, in units of the cell vectors:
La: 0.0000 0.0000 0.0000
Sm: 0.1347 0.5985 0.2690
Sm: 0.1879 0.1879 0.2313
Sm: 0.4015 0.8653 0.7310
Sm: 0.4549 0.4549 0.7611
Sm: 0.5451 0.5451 0.2389
Sm: 0.5985 0.1347 0.2690
Sm: 0.8121 0.8121 0.7687
Sm: 0.8653 0.4015 0.7310
Y: 0.2844 0.2844 0.7467
Y: 0.7156 0.7156 0.2533

Calculated values
mass density: 6.49 g cm⁻³
calculated formation energy: 138 meV per atom
SG: C2/m, No. 12
relative energy among the computed polymorphs: 0.024 eV/atom

A plane-wave DFT calculation with PBE-GGA was carried out for an optimized crystal structure of LaSm4Y.

abc: 6.7003 6.7003 6.7003
angles: 60.00 60.00 60.00
Sites, in units of the cell vectors:
La: 0.0000 0.0000 0.0000
Sm: 0.3759 0.3759 0.3759
Sm: 0.3759 0.3759 0.8724
Sm: 0.3759 0.8724 0.3759
Sm: 0.8724 0.3759 0.3759
Y: 0.7500 0.7500 0.7500

Calculated values
mass density: 6.47 g cm⁻³
calculated formation energy: 238 meV per atom
SG: F-43m, No. 216
relative energy among the computed polymorphs: 0.221 eV/atom

A plane-wave DFT calculation with PBE-GGA was carried out for an optimized crystal structure of La3SmY3.

abc: 9.8239 9.8239 5.8626
angles: 90.00 90.00 120.00
Sites, in units of the cell vectors:
La: 0.0982 0.4783 0.2500
La: 0.3801 0.9018 0.2500
La: 0.4783 0.3801 0.7500
La: 0.5217 0.6199 0.2500
La: 0.6199 0.0982 0.7500
La: 0.9018 0.5217 0.7500
Sm: 0.3333 0.6667 0.7500
Sm: 0.6667 0.3333 0.2500
Y: 0.0470 0.2329 0.7500
Y: 0.1859 0.9530 0.7500
Y: 0.2329 0.1859 0.2500
Y: 0.7671 0.8141 0.7500
Y: 0.8141 0.0470 0.2500
Y: 0.9530 0.7671 0.2500

Calculated values
mass density: 5.65 g cm⁻³
calculated formation energy: 32 meV per atom
SG: P6_3/m, No. 176
relative energy among the computed polymorphs: 0.000 eV/atom

A plane-wave DFT calculation with PBE-GGA was carried out for an optimized crystal structure of La5Sm3Y3.

abc: 11.4913 11.4913 3.4942
angles: 90.00 90.00 120.00
Sites, in units of the cell vectors:
La: 0.0000 0.3384 0.0000
La: 0.3333 0.6667 0.0000
La: 0.3384 0.0000 0.0000
La: 0.6616 0.6616 0.0000
La: 0.6667 0.3333 0.0000
Sm: 0.0000 0.5961 0.5000
Sm: 0.4039 0.4039 0.5000
Sm: 0.5961 0.0000 0.5000
Y: 0.0000 0.8391 0.0000
Y: 0.1609 0.1609 0.0000
Y: 0.8391 0.0000 0.0000

Calculated values
mass density: 5.87 g cm⁻³
calculated formation energy: 295 meV per atom
SG: P-62m, No. 189

A plane-wave DFT calculation with PBE-GGA was carried out for an optimized crystal structure of La6SmY12.

abc: 8.8764 8.8764 8.8764
angles: 99.10 99.10 99.10
Sites, in units of the cell vectors:
La: 0.1552 0.5959 0.5959
La: 0.4041 0.4041 0.8448
La: 0.4041 0.8448 0.4041
La: 0.5959 0.1552 0.5959
La: 0.5959 0.5959 0.1552
La: 0.8448 0.4041 0.4041
Sm: 0.5000 0.5000 0.5000
Y: 0.0000 0.2553 0.7447
Y: 0.0000 0.7447 0.2553
Y: 0.1470 0.1470 0.4203
Y: 0.1470 0.4203 0.1470
Y: 0.2553 0.0000 0.7447
Y: 0.2553 0.7447 0.0000
Y: 0.4203 0.1470 0.1470
Y: 0.5797 0.8530 0.8530
Y: 0.7447 0.0000 0.2553
Y: 0.7447 0.2553 0.0000
Y: 0.8530 0.5797 0.8530
Y: 0.8530 0.8530 0.5797

Calculated values
mass density: 5.08 g cm⁻³
calculated formation energy: 209 meV per atom
SG: R-3m, No. 166
relative energy among the computed polymorphs: 0.090 eV/atom

A plane-wave DFT calculation with PBE-GGA was carried out for an optimized crystal structure of LaSm5Y3.

abc: 9.4589 9.4589 12.4514
angles: 126.21 126.21 51.15
Sites, in units of the cell vectors:
La: 0.2382 0.2382 0.1330
La: 0.7618 0.7618 0.8670
Sm: 0.1290 0.1290 0.5715
Sm: 0.1404 0.7331 0.2225
Sm: 0.2669 0.8596 0.7775
Sm: 0.3028 0.3028 0.9320
Sm: 0.3187 0.6813 0.0000
Sm: 0.6813 0.3187 0.0000
Sm: 0.6972 0.6972 0.0680
Sm: 0.7331 0.1404 0.2225
Sm: 0.8596 0.2669 0.7775
Sm: 0.8710 0.8710 0.4285
Y: 0.0000 0.0000 0.0000
Y: 0.1746 0.1746 0.3428
Y: 0.3843 0.3843 0.6854
Y: 0.5000 0.5000 0.5000
Y: 0.6157 0.6157 0.3146
Y: 0.8254 0.8254 0.6572

Calculated values
mass density: 5.86 g cm⁻³
calculated formation energy: 400 meV per atom
SG: C2/m, No. 12
relative energy among the computed polymorphs: 0.115 eV/atom

A plane-wave DFT calculation with PBE-GGA was carried out for an optimized crystal structure of LaSm7Y2.

abc: 9.4261 9.4261 5.6756
angles: 90.00 90.00 124.69
Sites, in units of the cell vectors:
La: 0.0000 0.0000 0.0000
Sm: 0.0642 0.2905 0.5000
Sm: 0.2159 0.7841 0.0000
Sm: 0.2905 0.0642 0.5000
Sm: 0.5000 0.5000 0.5000
Sm: 0.7095 0.9358 0.5000
Sm: 0.7841 0.2159 0.0000
Sm: 0.9358 0.7095 0.5000
Y: 0.2948 0.7052 0.5000
Y: 0.7052 0.2948 0.5000

Calculated values
mass density: 5.48 g cm⁻³
calculated formation energy: 663 meV per atom
SG: Cmmm, No. 65
relative energy among the computed polymorphs: 0.647 eV/atom

A plane-wave DFT calculation with PBE-GGA was carried out for an optimized crystal structure of LaSm8Y2.

abc: 9.4693 9.4693 9.4693
angles: 145.14 128.12 64.03
Sites, in units of the cell vectors:
La: 0.0000 0.0000 0.0000
Sm: 0.1579 0.8619 0.2960
Sm: 0.1641 0.6641 0.5000
Sm: 0.2946 0.5000 0.7946
Sm: 0.4341 0.1381 0.2960
Sm: 0.5659 0.8619 0.7040
Sm: 0.7054 0.5000 0.2054
Sm: 0.8359 0.3359 0.5000
Sm: 0.8421 0.1381 0.7040
Y: 0.3000 0.3000 0.0000
Y: 0.7000 0.7000 0.0000

Calculated values
mass density: 6.69 g cm⁻³
calculated formation energy: 114 meV per atom
SG: Immm, No. 71
relative energy among the computed polymorphs: 0.000 eV/atom

A plane-wave DFT calculation with PBE-GGA was carried out for an optimized crystal structure of La10SmY4.

abc: 9.1443 9.1443 9.1443
angles: 100.93 100.93 128.37
Sites, in units of the cell vectors:
La: 0.0078 0.7906 0.2172
La: 0.2094 0.4266 0.2172
La: 0.2094 0.9922 0.7828
La: 0.2500 0.7500 0.5000
La: 0.4266 0.2094 0.2172
La: 0.5734 0.7906 0.7828
La: 0.7500 0.2500 0.5000
La: 0.7906 0.0078 0.2172
La: 0.7906 0.5734 0.7828
La: 0.9922 0.2094 0.7828
Sm: 0.5000 0.5000 0.0000
Y: 0.2706 0.2706 0.5413
Y: 0.2706 0.7294 0.0000
Y: 0.7294 0.2706 0.0000
Y: 0.7294 0.7294 0.4587

Calculated values
mass density: 5.83 g cm⁻³
calculated formation energy: 194 meV per atom
SG: I4/mmm, No. 139

A plane-wave DFT calculation with PBE-GGA was carried out for an optimized crystal structure of La2SmY4.

abc: 7.8575 7.8575 8.2344
angles: 90.04 90.04 90.01
Sites, in units of the cell vectors:
La: 0.0000 0.0000 0.0000
La: 0.0000 0.0000 0.5000
La: 0.0000 0.5000 0.0000
La: 0.5000 0.0000 0.0000
Sm: 0.5000 0.5000 0.0000
Sm: 0.5000 0.5000 0.5000
Y: 0.2525 0.2525 0.2795
Y: 0.2524 0.2524 0.7205
Y: 0.2518 0.7469 0.7205
Y: 0.2531 0.7482 0.2795
Y: 0.7469 0.2518 0.7205
Y: 0.7482 0.2531 0.2795
Y: 0.7476 0.7476 0.2795
Y: 0.7475 0.7475 0.7205

Calculated values
mass density: 5.12 g cm⁻³
calculated formation energy: 313 meV per atom
SG: C2/m, No. 12
relative energy among the computed polymorphs: 0.146 eV/atom

Looking at M_tot for the records above, in order, we have 0.0000 0.0006 0.0001 0.0000 0.0003 0.0001 0.0001 0.0000 0.0000 0.0900 μB/atom.